This record from Alexandria via LeMat-Bulk describes a relaxed structure of UInNi14. The functional is PBE-GGA.

Lattice parameters (Å, degrees): 5.1979 5.1979 7.1631 90.00 90.00 90.00
Last column: nearest neighbours and their distance in Å.
Space group P4/mmm (No. 123)
Symmetry-distinct sites (fractional):
1 U 0.0000 0.0000 0.0000 (multiplicity 1)  12 Ni 2.60-2.63
2 In 0.5000 0.5000 0.0000 (multiplicity 1)  12 Ni 2.60-2.66
3 Ni 0.0000 0.0000 0.5000 (multiplicity 1)  12 Ni 2.48-2.60
4 Ni 0.0000 0.5000 0.0000 (multiplicity 2)  2 In 2.60, 2 U 2.60, 8 Ni 2.64
5 Ni 0.0000 0.5000 0.5000 (multiplicity 2)  12 Ni 2.49-2.60
6 Ni 0.2471 0.2471 0.2651 (multiplicity 8)  10 Ni 2.48-2.64, 1 U 2.63, 1 In 2.66
7 Ni 0.5000 0.5000 0.5000 (multiplicity 1)  12 Ni 2.51-2.60

Crystal system: tetragonal
Magnetic moment, μB per atom: 0.215
Theoretical density, g/cm³: 10.08
E, eV/cell: -96.106